# KFeI2F

Crystalline KFeI2F at its relaxed geometry (PBE+U, Alexandria).

Summary:
The size of the total moment comes out at 4.002 μB per formula unit. As for the symmetry: P4/mmm. The energy is -3.724 eV per atom. The density of states at the Fermi level is 0.000 states/eV/cell.

Unit cell a=5.9478 b=5.9478 c=4.0894 alpha=90.00 beta=90.00 gamma=90.00
Element x y z (fractional)
Fe: 0.0000 0.0000 0.0000
F: 0.0000 0.0000 0.5000
I: 0.0000 0.5000 0.0000
I: 0.5000 0.0000 0.0000
K: 0.5000 0.5000 0.5000